This record from Alexandria describes crystalline La2SnI2 at its relaxed geometry. The functional is PBE.

Unit cell a=4.8105 b=4.8105 c=8.5946 alpha=73.75 beta=73.75 gamma=90.00
With the nearest neighbours (Å) after each atom.
Fractional coordinates of all 5 atoms:
La 0.6102 0.6102 0.7795  4 I 3.26, 1 La 3.48
La 0.3898 0.3898 0.2205  4 I 3.26, 1 La 3.48
Sn 0.0000 0.0000 0.0000  8 La 3.82
I 0.7500 0.2500 0.5000  4 La 3.26, 4 I 3.40
I 0.2500 0.7500 0.5000  4 La 3.26, 4 I 3.40

As for the total magnetization: 0.00 μB/atom. The calculation puts the uncorrected formation energy at -0.696 eV per atom.